# 1
KSn3Br12 | Alexandria | PBE | optimized geometry; DOS at the Fermi energy = 12.74 states/eV per cell; space group = P6_3/m (176); formation energy without anion corrections = -0.74 eV/atom; mass density = 3.139 Mg/m³
1.0
9.077 0.000 0.000
0.000 11.691 -6.750
0.000 0.000 13.500
K Sn Br
2 6 24
Cartesian
6.808 7.794 0.000 K
2.269 3.897 6.750 K
2.269 10.557 2.401 Sn
2.269 8.492 -3.593 Sn
2.269 4.333 1.192 Sn
6.808 7.357 5.558 Sn
6.808 3.199 10.343 Sn
6.808 1.134 4.349 Sn
2.269 11.653 4.668 Br
6.808 11.339 -0.318 Br
4.304 9.035 2.283 Br
0.234 9.035 2.283 Br
6.808 6.297 3.229 Br
0.234 9.151 -2.217 Br
4.304 9.151 -2.217 Br
2.269 9.907 -5.676 Br
4.304 5.196 -0.067 Br
0.234 5.196 -0.067 Br
6.808 9.869 5.742 Br
2.269 5.945 9.660 Br
6.808 5.746 -2.911 Br
2.269 1.822 1.008 Br
8.843 6.495 6.816 Br
4.773 6.495 6.816 Br
6.808 1.784 12.426 Br
4.773 2.540 8.967 Br
8.843 2.540 8.967 Br
2.269 5.394 3.521 Br
4.773 2.656 4.466 Br
8.843 2.656 4.466 Br
2.269 0.352 7.068 Br
6.808 0.038 2.082 Br

---

# 2
TaAs2SeBr | Alexandria | PBE | optimized geometry; DOS at the Fermi energy = 3.89 states/eV per cell; space group = P4/mmm (123); formation energy without anion corrections = 0.13 eV/atom; relative energy among the computed polymorphs = 0.0 kJ per mole of atoms; mass density = 6.392 Mg/m³
1.0
5.090 0.000 0.000
0.000 5.090 0.000
0.000 0.000 4.909
As Se Br Ta
2 1 1 1
Cartesian
0.000 2.545 0.000 As
2.545 0.000 0.000 As
0.000 0.000 2.455 Se
2.545 2.545 2.455 Br
0.000 0.000 0.000 Ta

---

# 3
YLuTcHg | Alexandria | PBE | optimized geometry; energy of formation from the pure elements = -0.174 eV/atom; DOS at the Fermi energy = 2.67 states/eV per cell; space group = F-43m (216); mass density = 10.603 Mg/m³
1.0
4.994 0.000 0.000
2.497 4.325 0.000
2.497 1.442 4.078
Y Lu Hg Tc
1 1 1 1
Cartesian
7.492 4.325 3.058 Y
2.497 1.442 1.019 Lu
4.994 2.883 2.039 Hg
0.000 0.000 0.000 Tc

---

# 4
TbPr3Ho5 | Alexandria | PBE | optimized geometry; energy of formation from the pure elements = 0.155 eV/atom; DOS at the Fermi energy = 25.83 states/eV per cell; space group = C2/c (15); relative energy among the computed polymorphs = 0.0 kJ per mole of atoms; mass density = 7.742 Mg/m³
1.0
6.745 0.000 0.000
-3.373 7.764 -2.885
0.000 0.155 11.461
Tb Pr Ho
2 6 10
Cartesian
5.211 0.116 8.596 Tb
1.534 0.039 2.865 Tb
0.000 0.000 0.000 Pr
2.524 3.742 2.691 Pr
0.000 0.078 5.731 Pr
0.849 4.177 5.885 Pr
4.221 3.820 8.422 Pr
-0.849 4.099 0.155 Pr
2.166 0.116 8.596 Ho
2.551 5.053 -0.423 Ho
3.389 1.667 -0.099 Ho
0.822 2.866 8.999 Ho
0.017 6.175 2.945 Ho
4.579 0.039 2.865 Ho
4.195 5.130 5.308 Ho
-0.822 2.789 3.268 Ho
3.356 1.744 5.632 Ho
-0.017 6.252 8.675 Ho

---

# 5
Mg4CdCu2Rh | Alexandria | PBE | optimized geometry; energy of formation from the pure elements = -0.200 eV/atom; DOS at the Fermi energy = 2.62 states/eV per cell; space group = R-3m (166); mass density = 5.425 Mg/m³
1.0
-3.091 -0.030 -3.314
-0.368 -3.604 -2.723
-6.199 -4.274 2.721
Mg Cd Cu Rh
4 1 2 1
Cartesian
-6.610 -5.035 0.013 Mg
-5.435 -4.834 -4.183 Mg
-4.222 -3.074 0.866 Mg
-3.047 -2.872 -3.330 Mg
0.000 0.000 0.000 Cd
-7.212 -5.912 -2.517 Cu
-2.446 -1.996 -0.800 Cu
-4.829 -3.954 -1.658 Rh

---

# 6
CeThHgPb | Alexandria | PBE | optimized geometry; energy of formation from the pure elements = 0.025 eV/atom; DOS at the Fermi energy = 7.21 states/eV per cell; space group = Amm2 (38); relative energy among the computed polymorphs = 26.8 kJ per mole of atoms; mass density = 10.697 Mg/m³
1.0
3.426 0.000 0.000
-1.713 6.154 0.000
0.000 0.000 5.743
Ce Th Hg Pb
1 1 1 1
Cartesian
1.713 3.640 2.871 Ce
0.000 0.824 2.871 Th
1.713 5.423 0.000 Hg
0.000 2.573 0.000 Pb

---

# 7
LiV | Alexandria | PBE | optimized geometry; energy of formation from the pure elements = 0.865 eV/atom; DOS at the Fermi energy = 3.34 states/eV per cell; space group = P4_2/mnm (136); relative energy among the computed polymorphs = 48.3 kJ per mole of atoms; mass density = 3.169 Mg/m³
1.0
4.854 0.000 0.000
0.000 4.854 0.000
0.000 0.000 5.149
Li V
4 4
Cartesian
0.756 4.098 0.000 Li
3.183 3.183 2.575 Li
1.671 1.671 2.575 Li
4.098 0.756 0.000 Li
1.768 1.768 0.000 V
4.195 0.659 2.575 V
0.659 4.195 2.575 V
3.085 3.085 0.000 V

---

# 8
Pm2BO5 | Alexandria | PBE | optimized geometry; DOS at the Fermi energy = 6.81 states/eV per cell; space group = P2_1/c (14); formation energy without anion corrections = -2.88 eV/atom; relative energy among the computed polymorphs = 0.0 kJ per mole of atoms; mass density = 6.054 Mg/m³
1.0
6.484 0.000 -1.873
0.000 7.643 0.000
-0.608 0.000 8.608
Pm B O
8 4 20
Cartesian
4.732 6.660 -1.364 Pm
1.491 4.804 -0.427 Pm
3.668 6.364 2.276 Pm
0.426 5.100 3.213 Pm
5.450 2.542 3.521 Pm
2.208 1.279 4.458 Pm
4.385 2.839 7.161 Pm
1.143 0.983 8.098 Pm
3.354 3.444 1.580 B
0.112 0.377 2.517 B
5.764 7.266 4.217 B
2.522 4.198 5.154 B
6.388 0.919 -0.719 O
6.120 4.804 -0.860 O
3.146 2.903 0.218 O
2.878 6.660 0.077 O
5.522 7.013 0.893 O
-0.013 1.530 3.407 O
2.280 4.451 1.830 O
4.670 4.121 1.794 O
3.229 2.292 2.471 O
1.428 7.343 2.731 O
4.448 0.299 4.003 O
2.647 5.351 4.263 O
1.206 3.522 4.940 O
3.596 3.192 4.904 O
5.889 6.113 3.327 O
0.354 0.630 5.841 O
2.997 0.983 6.658 O
2.729 4.740 6.516 O
-0.245 2.839 7.594 O
-0.513 6.724 7.453 O

---

# 9
YAl2Tc | Alexandria | PBE | optimized geometry; energy of formation from the pure elements = 0.118 eV/atom; DOS at the Fermi energy = 3.29 states/eV per cell; space group = Cmmm (65); relative energy among the computed polymorphs = 44.3 kJ per mole of atoms; mass density = 4.823 Mg/m³
1.0
-1.617 -2.594 0.580
4.224 -1.968 2.973
-3.954 3.019 2.478
Y Al Tc
1 2 1
Cartesian
1.304 -2.281 1.776 Y
-0.595 -2.373 4.414 Al
-0.752 0.830 1.618 Al
-0.808 -1.297 0.290 Tc

---

# 10
Na3Ge4Pt2 | Alexandria | PBE | optimized geometry; energy of formation from the pure elements = -0.357 eV/atom; DOS at the Fermi energy = 2.67 states/eV per cell; space group = C2/m (12); relative energy among the computed polymorphs = 0.0 kJ per mole of atoms; mass density = 6.520 Mg/m³
1.0
-3.527 0.881 2.318
0.219 -2.544 5.309
4.195 5.695 4.219
Na Ge Pt
3 4 2
Cartesian
1.004 2.524 8.588 Na
0.000 0.000 0.000 Na
-0.117 1.508 3.258 Na
-2.121 -0.287 4.900 Ge
3.008 4.318 6.946 Ge
-0.701 3.563 5.599 Ge
1.588 0.469 6.247 Ge
-0.792 1.163 6.371 Pt
1.680 2.868 5.475 Pt

---

# 11
Cu2SbMo | Alexandria | PBE | optimized geometry; DOS at the Fermi energy = 1.94 states/eV per cell; space group = Cmmm (65); formation energy without anion corrections = 0.36 eV/atom; mass density = 8.988 Mg/m³
1.0
-3.345 -3.320 -1.439
4.537 -0.877 -1.711
0.570 -1.582 2.323
Cu Mo Sb
2 1 1
Cartesian
0.000 0.000 0.000 Cu
0.596 -2.098 -1.575 Cu
-1.387 -2.451 0.442 Mo
2.554 -1.229 0.306 Sb

---

# 12
Sr2GaPd | Alexandria | PBE | optimized geometry; energy of formation from the pure elements = -0.050 eV/atom; DOS at the Fermi energy = 3.66 states/eV per cell; space group = R-3m (166); mass density = 3.817 Mg/m³
1.0
4.155 0.000 0.000
2.077 3.598 0.000
2.077 1.199 10.225
Sr Ga Pd
2 1 1
Cartesian
2.077 1.199 6.927 Sr
6.232 3.598 3.298 Sr
0.000 0.000 0.000 Ga
4.155 2.399 5.112 Pd

---

Q: Which of these has the highest mass density?
A: CeThHgPb

---

Repeat the second record exactly.
TaAs2SeBr | Alexandria | PBE | optimized geometry; DOS at the Fermi energy = 3.89 states/eV per cell; space group = P4/mmm (123); formation energy without anion corrections = 0.13 eV/atom; relative energy among the computed polymorphs = 0.0 kJ per mole of atoms; mass density = 6.392 Mg/m³
1.0
5.090 0.000 0.000
0.000 5.090 0.000
0.000 0.000 4.909
As Se Br Ta
2 1 1 1
Cartesian
0.000 2.545 0.000 As
2.545 0.000 0.000 As
0.000 0.000 2.455 Se
2.545 2.545 2.455 Br
0.000 0.000 0.000 Ta